(w)
Material: NdPuAl
Method: DFT, PBE
State: relaxed

As for the total moment: 5.80 μB per formula unit.

```
data_NdPuAl
_chemical_formula_sum 'Nd1 Pu1 Al1'
_symmetry_space_group_name_H-M 'P 3 m 1'
_symmetry_Int_Tables_number 156
_symmetry_space_group_name_Hall 'P 3 -2"'
_cell_length_a 5.1903
_cell_length_b 5.1903
_cell_length_c 3.3093
_cell_angle_alpha 90.00
_cell_angle_beta 90.00
_cell_angle_gamma 120.00
loop_
_atom_site_label
_atom_site_type_symbol
_atom_site_fract_x
_atom_site_fract_y
_atom_site_fract_z
Nd1 Nd 0.0000 0.0000 0.0000
Pu1 Pu 0.6667 0.3333 0.6231
Al1 Al 0.3333 0.6667 0.3254
```



(x)
Material: NdPuAl
Method: DFT, PBE
State: relaxed

As for the total moment: 6.42 μB per formula unit.

```
data_NdPuAl
_chemical_formula_sum 'Nd2 Pu2 Al2'
_symmetry_space_group_name_H-M 'I 4 m m'
_symmetry_Int_Tables_number 107
_symmetry_space_group_name_Hall 'I 4 -2'
_cell_length_a 3.696
_cell_length_b 3.696
_cell_length_c 11.770
_cell_angle_alpha 90.00
_cell_angle_beta 90.00
_cell_angle_gamma 90.00
loop_
_atom_site_label
_atom_site_type_symbol
_atom_site_fract_x
_atom_site_fract_y
_atom_site_fract_z
Nd1 Nd 0.000 0.000 0.000
Pu1 Pu 0.000 0.000 0.298
Al1 Al 0.000 0.000 0.656
```



Stability summary: most stable (x), least stable (w).